In2Pb3Cl8: relaxed, PBE.

Structure (CIF):
```
data_In2Pb3Cl8
_symmetry_space_group_name_H-M 'C 1 2/m 1'
_symmetry_Int_Tables_number 12
_symmetry_space_group_name_Hall '-C 2y'
_cell_length_a 15.642
_cell_length_b 8.690
_cell_length_c 7.430
_cell_angle_alpha 90.00
_cell_angle_beta 109.75
_cell_angle_gamma 90.00
loop_
_atom_site_label
_atom_site_type_symbol
_atom_site_fract_x
_atom_site_fract_y
_atom_site_fract_z
In1 In 0.223 0.000 0.154
Pb1 Pb 0.000 0.240 0.500
Pb2 Pb 0.000 0.500 0.000
Cl1 Cl 0.107 0.500 0.409
Cl2 Cl 0.112 0.000 0.436
Cl3 Cl 0.113 0.269 0.902
```

Properties
The calculation puts the raw formation energy at -1050.6 meV/atom. As for the total energy: -3.464 eV per atom. As for the spin magnetization: 0.0 Bohr magnetons per cell.

SiAsOsSe2: relaxed, PBE.

Structure (CIF):
```
data_SiAsOsSe2
_symmetry_space_group_name_H-M 'P 4/m m m'
_symmetry_Int_Tables_number 123
_symmetry_space_group_name_Hall '-P 4 2'
_cell_length_a 4.611
_cell_length_b 4.611
_cell_length_c 4.590
_cell_angle_alpha 90.00
_cell_angle_beta 90.00
_cell_angle_gamma 90.00
loop_
_atom_site_label
_atom_site_type_symbol
_atom_site_fract_x
_atom_site_fract_y
_atom_site_fract_z
Si1 Si 0.000 0.000 0.000
As1 As 0.000 0.000 0.500
Os1 Os 0.500 0.500 0.500
Se1 Se 0.000 0.500 0.000
```

Properties
The calculation puts the raw formation energy at 1276.2 meV/atom. As for the total energy: -4.378 eV per atom. As for the spin magnetization: 0.0 Bohr magnetons per cell.

Eu2ThIn: relaxed, PBE.

Structure (CIF):
```
data_Eu2ThIn
_symmetry_space_group_name_H-M 'R -3 m'
_symmetry_Int_Tables_number 166
_symmetry_space_group_name_Hall '-R 3 2"'
_cell_length_a 3.5260
_cell_length_b 3.5260
_cell_length_c 37.4016
_cell_angle_alpha 90.00
_cell_angle_beta 90.00
_cell_angle_gamma 120.00
loop_
_atom_site_label
_atom_site_type_symbol
_atom_site_fract_x
_atom_site_fract_y
_atom_site_fract_z
Eu1 Eu 0.0000 0.0000 0.0942
Th1 Th 0.0000 0.0000 0.0000
In1 In 0.0000 0.0000 0.5000
```

Properties
For the formation energy from the elements, the calculation gives 0.100 eV per atom. As for the total energy: -7.577 eV per atom. As for the spin magnetization: 44.6 Bohr magnetons per cell.

CuPPdS2: relaxed, PBE.

Structure (CIF):
```
data_CuPPdS2
_symmetry_space_group_name_H-M 'P 4/m m m'
_symmetry_Int_Tables_number 123
_symmetry_space_group_name_Hall '-P 4 2'
_cell_length_a 4.544
_cell_length_b 4.544
_cell_length_c 4.405
_cell_angle_alpha 90.00
_cell_angle_beta 90.00
_cell_angle_gamma 90.00
loop_
_atom_site_label
_atom_site_type_symbol
_atom_site_fract_x
_atom_site_fract_y
_atom_site_fract_z
Cu1 Cu 0.000 0.000 0.000
P1 P 0.000 0.000 0.500
Pd1 Pd 0.500 0.500 0.500
S1 S 0.000 0.500 0.000
```

Properties
The calculation puts the raw formation energy at 808.8 meV/atom. As for the total energy: -3.782 eV per atom. As for the spin magnetization: 0.0 Bohr magnetons per cell.

DyHo2Cd8: relaxed, PBE.

Structure (CIF):
```
data_DyHo2Cd8
_symmetry_space_group_name_H-M 'C 1 2/m 1'
_symmetry_Int_Tables_number 12
_symmetry_space_group_name_Hall '-C 2y'
_cell_length_a 8.147
_cell_length_b 15.812
_cell_length_c 5.331
_cell_angle_alpha 90.00
_cell_angle_beta 129.27
_cell_angle_gamma 90.00
loop_
_atom_site_label
_atom_site_type_symbol
_atom_site_fract_x
_atom_site_fract_y
_atom_site_fract_z
Dy1 Dy 0.000 0.000 0.000
Ho1 Ho 0.000 0.312 0.500
Cd1 Cd 0.000 0.201 0.000
Cd2 Cd 0.015 0.500 0.267
Cd3 Cd 0.231 0.130 0.743
```

Properties
For the formation energy from the elements, the calculation gives -0.225 eV per atom. As for the total energy: -2.141 eV per atom. As for the spin magnetization: 0.0 Bohr magnetons per cell.

TlGe2AuSe6: relaxed, PBE.

Structure (CIF):
```
data_TlGe2AuSe6
_symmetry_space_group_name_H-M 'C 1 2/c 1'
_symmetry_Int_Tables_number 15
_symmetry_space_group_name_Hall '-C 2yc'
_cell_length_a 13.925
_cell_length_b 13.923
_cell_length_c 6.723
_cell_angle_alpha 90.00
_cell_angle_beta 115.46
_cell_angle_gamma 90.00
loop_
_atom_site_label
_atom_site_type_symbol
_atom_site_fract_x
_atom_site_fract_y
_atom_site_fract_z
Tl1 Tl 0.000 0.182 0.250
Ge1 Ge 0.210 0.429 0.291
Au1 Au 0.000 0.296 0.750
Se1 Se 0.106 0.069 0.614
Se2 Se 0.134 0.435 0.551
Se3 Se 0.144 0.271 0.119
```

Properties
The calculation puts the raw formation energy at -167.7 meV/atom. As for the total energy: -3.746 eV per atom. As for the spin magnetization: 0.0 Bohr magnetons per cell.

AgSe2NO: relaxed, PBE.

Structure (CIF):
```
data_AgSe2NO
_symmetry_space_group_name_H-M 'P 4/m m m'
_symmetry_Int_Tables_number 123
_symmetry_space_group_name_Hall '-P 4 2'
_cell_length_a 4.521
_cell_length_b 4.521
_cell_length_c 3.954
_cell_angle_alpha 90.00
_cell_angle_beta 90.00
_cell_angle_gamma 90.00
loop_
_atom_site_label
_atom_site_type_symbol
_atom_site_fract_x
_atom_site_fract_y
_atom_site_fract_z
Ag1 Ag 0.000 0.000 0.000
Se1 Se 0.000 0.500 0.500
N1 N 0.500 0.500 0.000
O1 O 0.500 0.500 0.500
```

Properties
The calculation puts the raw formation energy at 1282.3 meV/atom. As for the total energy: -3.339 eV per atom. As for the spin magnetization: 2.2 Bohr magnetons per cell.

CaBe2Ni: relaxed, PBE.

Structure (CIF):
```
data_CaBe2Ni
_symmetry_space_group_name_H-M 'I m m 2'
_symmetry_Int_Tables_number 44
_symmetry_space_group_name_Hall 'I 2 -2'
_cell_length_a 3.846
_cell_length_b 5.055
_cell_length_c 6.541
_cell_angle_alpha 90.00
_cell_angle_beta 90.00
_cell_angle_gamma 90.00
loop_
_atom_site_label
_atom_site_type_symbol
_atom_site_fract_x
_atom_site_fract_y
_atom_site_fract_z
Ca1 Ca 0.000 0.000 0.000
Be1 Be 0.000 0.000 0.501
Be2 Be 0.000 0.500 0.833
Ni1 Ni 0.000 0.500 0.159
```

Properties
For the formation energy from the elements, the calculation gives 0.276 eV per atom. As for the total energy: -3.533 eV per atom. As for the spin magnetization: 0.0 Bohr magnetons per cell.

Rb2RuI6O: relaxed, PBE.

Structure (CIF):
```
data_Rb2RuI6O
_symmetry_space_group_name_H-M 'I 4/m m m'
_symmetry_Int_Tables_number 139
_symmetry_space_group_name_Hall '-I 4 2'
_cell_length_a 8.792
_cell_length_b 8.792
_cell_length_c 9.804
_cell_angle_alpha 90.00
_cell_angle_beta 90.00
_cell_angle_gamma 90.00
loop_
_atom_site_label
_atom_site_type_symbol
_atom_site_fract_x
_atom_site_fract_y
_atom_site_fract_z
Rb1 Rb 0.000 0.500 0.250
Ru1 Ru 0.000 0.000 0.000
I1 I 0.000 0.000 0.281
I2 I 0.219 0.219 0.000
O1 O 0.000 0.000 0.500
```

Properties
The calculation puts the raw formation energy at -446.7 meV/atom. As for the total energy: -2.994 eV per atom. As for the spin magnetization: 5.3 Bohr magnetons per cell.

SrCdAs3: relaxed, PBE.

Structure (CIF):
```
data_SrCdAs3
_symmetry_space_group_name_H-M 'P m -3 m'
_symmetry_Int_Tables_number 221
_symmetry_space_group_name_Hall '-P 4 2 3'
_cell_length_a 5.221
_cell_length_b 5.221
_cell_length_c 5.221
_cell_angle_alpha 90.00
_cell_angle_beta 90.00
_cell_angle_gamma 90.00
loop_
_atom_site_label
_atom_site_type_symbol
_atom_site_fract_x
_atom_site_fract_y
_atom_site_fract_z
Sr1 Sr 0.000 0.000 0.000
Cd1 Cd 0.500 0.500 0.500
As1 As 0.000 0.500 0.500
```

Properties
For the formation energy from the elements, the calculation gives 0.126 eV per atom. As for the total energy: -3.183 eV per atom. As for the spin magnetization: 0.0 Bohr magnetons per cell.

InSb2P: relaxed, PBE.

Structure (CIF):
```
data_InSb2P
_symmetry_space_group_name_H-M 'I -4 m 2'
_symmetry_Int_Tables_number 119
_symmetry_space_group_name_Hall 'I -4 -2'
_cell_length_a 4.208
_cell_length_b 4.208
_cell_length_c 11.211
_cell_angle_alpha 90.00
_cell_angle_beta 90.00
_cell_angle_gamma 90.00
loop_
_atom_site_label
_atom_site_type_symbol
_atom_site_fract_x
_atom_site_fract_y
_atom_site_fract_z
In1 In 0.000 0.000 0.000
Sb1 Sb 0.000 0.000 0.500
Sb2 Sb 0.000 0.500 0.250
P1 P 0.000 0.500 0.750
```

Properties
The calculation puts the raw formation energy at 375.8 meV/atom. As for the total energy: -3.723 eV per atom. As for the spin magnetization: 0.0 Bohr magnetons per cell.

Ba2SrTcBi: relaxed, PBE.

Structure (CIF):
```
data_Ba2SrTcBi
_symmetry_space_group_name_H-M 'P 4/m m m'
_symmetry_Int_Tables_number 123
_symmetry_space_group_name_Hall '-P 4 2'
_cell_length_a 6.560
_cell_length_b 6.560
_cell_length_c 4.847
_cell_angle_alpha 90.00
_cell_angle_beta 90.00
_cell_angle_gamma 90.00
loop_
_atom_site_label
_atom_site_type_symbol
_atom_site_fract_x
_atom_site_fract_y
_atom_site_fract_z
Ba1 Ba 0.000 0.500 0.000
Sr1 Sr 0.000 0.000 0.000
Tc1 Tc 0.000 0.000 0.500
Bi1 Bi 0.500 0.500 0.500
```

Properties
For the formation energy from the elements, the calculation gives 0.999 eV per atom. As for the total energy: -2.956 eV per atom. As for the spin magnetization: 0.0 Bohr magnetons per cell.

- The highest spin magnetization belongs to which entry?
  Eu2ThIn

What did the ninth record say?
Rb2RuI6O: relaxed, PBE.

Structure (CIF):
```
data_Rb2RuI6O
_symmetry_space_group_name_H-M 'I 4/m m m'
_symmetry_Int_Tables_number 139
_symmetry_space_group_name_Hall '-I 4 2'
_cell_length_a 8.792
_cell_length_b 8.792
_cell_length_c 9.804
_cell_angle_alpha 90.00
_cell_angle_beta 90.00
_cell_angle_gamma 90.00
loop_
_atom_site_label
_atom_site_type_symbol
_atom_site_fract_x
_atom_site_fract_y
_atom_site_fract_z
Rb1 Rb 0.000 0.500 0.250
Ru1 Ru 0.000 0.000 0.000
I1 I 0.000 0.000 0.281
I2 I 0.219 0.219 0.000
O1 O 0.000 0.000 0.500
```

Properties
The calculation puts the raw formation energy at -446.7 meV/atom. As for the total energy: -2.994 eV per atom. As for the spin magnetization: 5.3 Bohr magnetons per cell.

- Which value of spin magnetization does entry 10 give?
  0.0 Bohr magnetons per cell